! CeGa4Ag2Pd | the Alexandria database | GGA-PBE | optimized geometry; values from VASP
&SYSTEM
  ibrav = 0, nat = 8, ntyp = 4
/
ATOMIC_SPECIES
Ce 140.12 Ce.upf
Ga 69.72 Ga.upf
Ag 107.87 Ag.upf
Pd 106.42 Pd.upf
CELL_PARAMETERS angstrom
2.220 1.282 8.751
-2.220 1.282 8.751
0.000 -2.563 8.751
ATOMIC_POSITIONS crystal
Ce 0.000 0.000 0.000
Ga 0.129 0.129 0.129
Ga 0.397 0.397 0.397
Ga 0.603 0.603 0.603
Ga 0.871 0.871 0.871
Ag 0.243 0.243 0.243
Ag 0.757 0.757 0.757
Pd 0.500 0.500 0.500
! SG: R-3m, No. 166
! DFT formation energy: -323 meV per atom
! Mass density: 8.238 g/cm3